1.
Li7GaAg2: optimized geometry, PBE-GGA.

Output
Energy above the most stable polymorph in this dataset = 0 meV per atom
Energy of formation = -0.119 eV per atom
VASP energy = -2.3316 eV/atom
Spin magnetization = 0.0 μB per formula unit

Unit cell a=4.4959 b=4.4959 c=9.7928 alpha=90.00 beta=90.00 gamma=120.00
Last column: nearest neighbours and their distance in Å.
Positions (direct):
Li  0.3333  0.6667  0.3928  4 Li 2.41-2.64, 1 Ag 2.52
Li  0.3333  0.6667  0.1470  2 Li 2.36-2.41
Li  0.0000  0.0000  0.3444  3 Li 2.64, 1 Ga 2.80, 3 Ag 2.82
Li  0.0000  0.0000  0.7510  3 Ag 2.78, 3 Li 3.01, 1 Ga 3.01
Li  0.6667  0.3333  0.5489  4 Ag 2.78-3.09, 3 Li 3.01
Li  0.6667  0.3333  0.9524  3 Li 2.64, 1 Ag 2.75, 3 Ga 2.80
Li  0.3333  0.6667  0.9058  4 Li 2.36-2.64, 1 Ag 2.51
Ga  0.0000  0.0000  0.0585  11 Li 2.74-3.01
Ag  0.6667  0.3333  0.2329  10 Li 2.73-3.03
Ag  0.3333  0.6667  0.6496  8 Li 2.51-2.78

2.
SrOsW2: optimized geometry, PBE-GGA.

Output
Energy above the most stable polymorph in this dataset = 184 meV per atom
Energy of formation = 0.869 eV per atom
VASP energy = -8.8359 eV/atom
Spin magnetization = 0.0 μB per formula unit

Unit cell a=3.3931 b=3.3931 c=7.5916 alpha=90.00 beta=90.00 gamma=90.00
Last column: nearest neighbours and their distance in Å.
Positions (direct):
Os  0.5000  0.5000  0.2500  8 W 2.68
Sr  0.5000  0.5000  0.7500  4 Sr 3.39, 8 W 3.54, 2 Os 3.80
W  0.0000  0.0000  0.0921  1 W 2.40, 4 Os 2.68
W  0.0000  0.0000  0.4079  1 W 2.40, 4 Os 2.68

3.
Sc4TaIr5: optimized geometry, PBE-GGA.

Output
Energy of formation = -0.872 eV per atom
VASP energy = -9.0201 eV/atom
Spin magnetization = 0.0 μB per formula unit

Unit cell a=3.2578 b=3.2578 c=15.8342 alpha=90.00 beta=90.00 gamma=90.00
Last column: nearest neighbours and their distance in Å.
Positions (direct):
Sc  0.0000  0.0000  0.2011  8 Ir 2.77-2.85
Sc  0.0000  0.0000  0.3997  8 Ir 2.80-2.81
Sc  0.0000  0.0000  0.6003  8 Ir 2.80-2.81
Sc  0.0000  0.0000  0.7989  8 Ir 2.77-2.85
Ta  0.0000  0.0000  0.0000  8 Ir 2.76
Ir  0.5000  0.5000  0.0955  4 Ta 2.76, 4 Sc 2.85, 1 Ir 3.03
Ir  0.5000  0.5000  0.2986  8 Sc 2.77-2.81
Ir  0.5000  0.5000  0.5000  8 Sc 2.80
Ir  0.5000  0.5000  0.7014  8 Sc 2.77-2.81
Ir  0.5000  0.5000  0.9045  4 Ta 2.76, 4 Sc 2.85, 1 Ir 3.03

4.
Pr6SmTl5: optimized geometry, PBE-GGA.

Output
Energy above the most stable polymorph in this dataset = 0 meV per atom
Energy of formation = -0.305 eV per atom
VASP energy = -4.0741 eV/atom
Spin magnetization = 0.0 μB per formula unit

Unit cell a=5.1596 b=10.5271 c=9.4362 alpha=56.10 beta=74.15 gamma=60.68
Last column: nearest neighbours and their distance in Å.
Positions (direct):
Pr  0.7384  0.0898  0.3433  7 Tl 3.38-3.55, 4 Pr 3.57-3.73, 1 Sm 3.60
Pr  0.2616  0.5668  0.3433  7 Tl 3.38-3.55, 4 Pr 3.57-3.73, 1 Sm 3.60
Pr  0.2310  0.2689  0.0000  6 Tl 3.34-3.46, 2 Sm 3.57, 4 Pr 3.73
Pr  0.7690  0.7311  0.0000  6 Tl 3.34-3.46, 2 Sm 3.57, 4 Pr 3.73
Pr  0.7384  0.4332  0.6567  7 Tl 3.38-3.55, 4 Pr 3.57-3.73, 1 Sm 3.60
Pr  0.2616  0.9102  0.6567  7 Tl 3.38-3.55, 4 Pr 3.57-3.73, 1 Sm 3.60
Sm  0.0000  0.0000  0.0000  4 Tl 3.49, 8 Pr 3.57-3.60
Tl  0.5000  0.1500  0.7000  8 Pr 3.41-3.55, 2 Sm 3.49, 2 Tl 3.77
Tl  0.0000  0.3257  0.3487  8 Pr 3.38-3.46, 4 Tl 3.76-3.77
Tl  0.5000  0.5000  0.0000  8 Pr 3.34-3.47
Tl  0.0000  0.6743  0.6513  8 Pr 3.38-3.46, 4 Tl 3.76-3.77
Tl  0.5000  0.8500  0.3000  8 Pr 3.41-3.55, 2 Sm 3.49, 2 Tl 3.77

5.
LiScMo2: optimized geometry, PBE-GGA.

Output
Energy above the most stable polymorph in this dataset = 145 meV per atom
Energy of formation = 0.328 eV per atom
VASP energy = -7.1489 eV/atom
Spin magnetization = 0.0 μB per formula unit

Unit cell a=4.7672 b=4.7672 c=5.5413 alpha=87.96 beta=87.96 gamma=32.72
Last column: nearest neighbours and their distance in Å.
Positions (direct):
Li  0.7477  0.7477  0.7563  2 Li 2.69, 3 Sc 2.71-2.97, 5 Mo 2.80-2.93
Mo  0.0042  0.0042  0.0161  3 Mo 2.55-2.69, 1 Li 2.80
Mo  0.2485  0.2485  0.2230  3 Mo 2.55-2.69, 1 Sc 2.82
Sc  0.4996  0.4996  0.5045  2 Sc 2.69, 3 Li 2.71-2.97, 1 Mo 2.82

6.
Ho6Th: optimized geometry, PBE-GGA.

Output
Energy of formation = 1.538 eV per atom
VASP energy = -3.4454 eV/atom
Spin magnetization = 0.0 μB per formula unit

Unit cell a=6.8795 b=6.8795 c=6.8795 alpha=109.47 beta=109.47 gamma=109.47
Last column: nearest neighbours and their distance in Å.
Positions (direct):
Ho  0.2500  0.7500  0.5000  4 Ho 2.81
Ho  0.5000  0.7500  0.2500  4 Ho 2.81
Ho  0.2500  0.5000  0.7500  4 Ho 2.81
Ho  0.7500  0.2500  0.5000  4 Ho 2.81
Ho  0.5000  0.2500  0.7500  4 Ho 2.81
Ho  0.7500  0.5000  0.2500  4 Ho 2.81
Th  0.0000  0.0000  0.0000  24 Ho 4.44

7.
CaNiW2: optimized geometry, PBE-GGA.

Output
Energy above the most stable polymorph in this dataset = 167 meV per atom
Energy of formation = 0.604 eV per atom
VASP energy = -7.8180 eV/atom
Spin magnetization = 0.0 μB per formula unit

Unit cell a=2.7327 b=2.7327 c=9.1249 alpha=90.00 beta=90.00 gamma=98.68
Last column: nearest neighbours and their distance in Å.
Positions (direct):
Ni  0.5000  0.5000  0.7500  8 W 2.59-2.80, 4 Ni 2.73
Ca  0.5000  0.5000  0.2500  4 Ca 2.73
W  0.0000  0.0000  0.9560  4 Ni 2.59-2.80, 4 W 2.73
W  0.0000  0.0000  0.5440  4 Ni 2.59-2.80, 4 W 2.73

8.
CsTaO2: optimized geometry, PBE-GGA.

Output
Raw formation energy = -1.670 eV/atom
VASP energy = -7.3260 eV/atom
Spin magnetization = 0.9 μB per formula unit

Unit cell a=5.5425 b=5.5425 c=6.8686 alpha=66.21 beta=66.21 gamma=90.00
Last column: nearest neighbours and their distance in Å.
Positions (direct):
Cs  0.5000  0.5000  0.0000  8 O 3.40-3.41
Cs  0.2500  0.7500  0.5000  8 O 3.40-3.41
O  0.8754  0.1250  0.2500  2 Ta 1.98
O  0.8746  0.6250  0.2500  2 Ta 1.98
O  0.3750  0.1246  0.7500  2 Ta 1.98
O  0.8750  0.1254  0.7500  2 Ta 1.98
Ta  0.0000  0.0000  0.0000  4 O 1.98
Ta  0.7500  0.2500  0.5000  4 O 1.98

9.
BeHPb3: optimized geometry, PBE-GGA.

Output
Energy above the most stable polymorph in this dataset = 0 meV per atom
VASP energy = -3.0080 eV/atom
Spin magnetization = 0.0 μB per formula unit

Unit cell a=4.8662 b=4.8662 c=4.8662 alpha=90.00 beta=90.00 gamma=90.00
Last column: nearest neighbours and their distance in Å.
Positions (direct):
Pb  0.0000  0.5000  0.0000  2 H 2.43
Pb  0.0000  0.0000  0.5000  2 H 2.43
Pb  0.5000  0.0000  0.0000  2 H 2.43
Be  0.5000  0.5000  0.5000  12 Pb 3.44
H  0.0000  0.0000  0.0000  6 Pb 2.43

10.
PuClF2: optimized geometry, PBE-GGA.

Output
Energy above the most stable polymorph in this dataset = 129 meV per atom
Raw formation energy = -2.918 eV/atom
VASP energy = -7.8982 eV/atom
Spin magnetization = 5.0 μB per formula unit

Unit cell a=4.0454 b=4.0454 c=5.4448 alpha=68.19 beta=68.19 gamma=60.00
Last column: nearest neighbours and their distance in Å.
Positions (direct):
F  0.2966  0.2966  0.1101  3 Pu 2.40, 3 F 2.57
F  0.7034  0.7034  0.8899  3 Pu 2.40, 3 F 2.57
Cl  0.5000  0.5000  0.5000  8 F 3.00-3.02
Pu  0.0000  0.0000  0.0000  6 F 2.40

11.
Dy4AlPt: optimized geometry, PBE-GGA.

Output
Energy above the most stable polymorph in this dataset = 0 meV per atom
Energy of formation = -0.635 eV per atom
VASP energy = -5.3332 eV/atom
Spin magnetization = 0.0 μB per formula unit

Unit cell a=9.5973 b=9.5973 c=9.5973 alpha=60.00 beta=60.00 gamma=60.00
Last column: nearest neighbours and their distance in Å.
Positions (direct):
Dy  0.3958  0.3958  0.3958  3 Pt 2.86
Dy  0.8127  0.3958  0.3958  3 Pt 2.86
Dy  0.3958  0.8127  0.3958  3 Pt 2.86
Dy  0.3958  0.3958  0.8127  3 Pt 2.86
Dy  0.5574  0.5574  0.9426  2 Pt 2.84
Dy  0.9426  0.9426  0.5574  2 Pt 2.84
Dy  0.5574  0.9426  0.5574  2 Pt 2.84
Dy  0.9426  0.5574  0.9426  2 Pt 2.84
Dy  0.9426  0.5574  0.5574  2 Pt 2.84
Dy  0.5574  0.9426  0.9426  2 Pt 2.84
Dy  0.1857  0.1857  0.8143  2 Al 3.32, 10 Dy 3.48-3.59, 2 Pt 3.48
Dy  0.8143  0.8143  0.1857  2 Al 3.32, 10 Dy 3.48-3.59, 2 Pt 3.48
Dy  0.1857  0.8143  0.1857  2 Al 3.32, 10 Dy 3.48-3.59, 2 Pt 3.48
Dy  0.8143  0.1857  0.8143  2 Al 3.32, 10 Dy 3.48-3.59, 2 Pt 3.48
Dy  0.8143  0.1857  0.1857  2 Al 3.32, 10 Dy 3.48-3.59, 2 Pt 3.48
Dy  0.1857  0.8143  0.8143  2 Al 3.32, 10 Dy 3.48-3.59, 2 Pt 3.48
Al  0.1726  0.1726  0.1726  3 Al 2.97, 6 Dy 3.30-3.32
Al  0.4822  0.1726  0.1726  3 Al 2.97, 6 Dy 3.30-3.32
Al  0.1726  0.4822  0.1726  3 Al 2.97, 6 Dy 3.30-3.32
Al  0.1726  0.1726  0.4822  3 Al 2.97, 6 Dy 3.30-3.32
Pt  0.6064  0.6064  0.6064  6 Dy 2.84-2.86
Pt  0.1809  0.6064  0.6064  6 Dy 2.84-2.86
Pt  0.6064  0.1809  0.6064  6 Dy 2.84-2.86
Pt  0.6064  0.6064  0.1809  6 Dy 2.84-2.86